[1]
A plane-wave DFT calculation with GGA+U was carried out for crystalline Mn3Cr3W2O16 at its relaxed geometry.

The structure in POSCAR format:
```
Mn3Cr3W2O16
1.0
6.117 0.000 0.000
-3.013 5.503 0.000
-0.747 -0.467 9.129
Mn Cr W O
3 3 2 16
direct
0.000 0.000 0.000
0.079 0.244 0.647
0.395 0.547 0.336
0.186 0.800 0.525
0.685 0.194 0.912
0.946 0.549 0.192
0.449 0.048 0.207
0.723 0.582 0.691
0.000 0.215 0.859
0.060 0.902 0.201
0.079 0.518 0.383
0.311 0.062 0.681
0.316 0.673 0.161
0.355 0.094 0.003
0.436 0.470 0.548
0.473 0.971 0.406
0.553 0.747 0.779
0.581 0.204 0.701
0.592 0.412 0.257
0.614 0.845 0.927
0.796 0.192 0.127
0.811 0.563 0.896
0.902 0.856 0.571
0.999 0.533 0.648
```

Results
* E_tot: -173.8 eV per cell
* size of the total moment: 23.0 μB per formula unit
* volume: 12.8 Å³/atom
* space group: P1, No. 1

[2]
A plane-wave DFT calculation with GGA+U was carried out for crystalline MnCr2WO6 at its relaxed geometry.

The structure in POSCAR format:
```
MnCr2WO6
1.0
2.631 1.519 4.720
-2.631 1.519 4.720
0.000 -3.038 4.720
Mn Cr W O
1 2 1 6
direct
0.000 0.000 0.000
0.284 0.284 0.284
0.790 0.790 0.790
0.487 0.487 0.487
0.079 0.664 0.416
0.185 0.567 0.897
0.416 0.079 0.664
0.567 0.897 0.185
0.664 0.416 0.079
0.897 0.185 0.567
```

Results
* E_tot: -78.0 eV per cell
* size of the total moment: 13.0 μB per formula unit
* volume: 11.3 Å³/atom
* space group: R3, No. 146

[3]
A plane-wave DFT calculation with GGA+U was carried out for crystalline YMnCr2O8 at its relaxed geometry.

The structure in POSCAR format:
```
YMnCr2O8
1.0
-3.544 3.544 3.139
3.544 -3.544 3.139
3.544 3.544 -3.139
Y Mn Cr O
1 1 2 8
direct
0.000 0.000 0.000
0.750 0.250 0.500
0.250 0.750 0.500
0.500 0.500 0.000
0.088 0.403 0.315
0.088 0.774 0.685
0.135 0.324 0.811
0.226 0.912 0.315
0.514 0.324 0.189
0.597 0.912 0.685
0.676 0.486 0.811
0.676 0.865 0.189
```

Results
* E_tot: -90.4 eV per cell
* size of the total moment: 6.0 μB per formula unit
* volume: 13.1 Å³/atom
* Fermi-level density of states: 0.225 states/eV/f.u.
* space group: I-4m2, No. 119

[4]
A plane-wave DFT calculation with GGA+U was carried out for crystalline Y2MnCrO6 at its relaxed geometry.

The structure in POSCAR format:
```
Y2MnCrO6
1.0
7.577 0.000 0.000
0.000 5.289 0.000
-0.052 0.000 5.628
Y Mn Cr O
4 2 2 12
direct
0.245 0.022 0.429
0.245 0.478 0.929
0.755 0.522 0.071
0.755 0.978 0.571
0.000 0.000 0.000
0.000 0.500 0.500
0.500 0.000 0.000
0.500 0.500 0.500
0.053 0.192 0.696
0.053 0.308 0.196
0.247 0.610 0.538
0.247 0.890 0.038
0.442 0.192 0.697
0.442 0.308 0.197
0.558 0.692 0.803
0.558 0.808 0.303
0.753 0.110 0.962
0.753 0.390 0.462
0.947 0.692 0.804
0.947 0.808 0.304
```

Results
* E_tot: -166.8 eV per cell
* size of the total moment: 5.0 μB per formula unit
* volume: 11.3 Å³/atom
* space group: P2_1/c, No. 14

[5]
A plane-wave DFT calculation with GGA+U was carried out for crystalline Y2MnCrO6 at its relaxed geometry.

The structure in POSCAR format:
```
Y2MnCrO6
1.0
5.285 0.000 0.000
0.000 5.620 0.000
-5.203 0.000 7.592
Y Mn Cr O
4 2 2 12
direct
0.228 0.071 0.249
0.228 0.429 0.749
0.772 0.571 0.251
0.772 0.929 0.751
0.000 0.000 0.500
0.000 0.500 0.000
0.500 0.000 0.000
0.500 0.500 0.500
0.136 0.197 0.944
0.136 0.303 0.444
0.252 0.696 0.945
0.252 0.804 0.445
0.357 0.038 0.747
0.357 0.462 0.247
0.643 0.538 0.753
0.643 0.962 0.253
0.748 0.196 0.555
0.748 0.304 0.055
0.864 0.697 0.556
0.864 0.803 0.056
```

Results
* E_tot: -166.8 eV per cell
* size of the total moment: 5.0 μB per formula unit
* volume: 11.3 Å³/atom
* space group: P2_1/c, No. 14

[6]
A plane-wave DFT calculation with GGA+U was carried out for crystalline Mn2ZnCrO at its relaxed geometry.

The structure in POSCAR format:
```
Mn2ZnCrO
1.0
5.448 0.000 0.000
0.000 5.448 0.000
0.000 0.000 3.573
Mn Zn Cr O
2 1 1 1
direct
0.000 0.500 0.000
0.500 0.000 0.000
0.000 0.000 0.000
0.500 0.500 0.500
0.000 0.000 0.500
```

Results
* E_tot: -25.5 eV per cell
* size of the total moment: 14.5 μB per formula unit
* volume: 21.2 Å³/atom
* Fermi-level density of states: 1.992 states/eV/f.u.
* space group: P4/mmm, No. 123

[7]
A plane-wave DFT calculation with GGA+U was carried out for crystalline MnZnCrO2 at its relaxed geometry.

The structure in POSCAR format:
```
MnZnCrO2
1.0
3.768 0.000 0.000
0.000 3.768 0.000
0.000 0.000 5.423
Mn Zn Cr O
1 1 1 2
direct
0.000 0.000 0.000
0.500 0.500 0.000
0.500 0.500 0.500
0.000 0.500 0.500
0.500 0.000 0.500
```

Results
* E_tot: -27.8 eV per cell
* size of the total moment: 7.4 μB per formula unit
* volume: 15.4 Å³/atom
* Fermi-level density of states: 2.619 states/eV/f.u.
* space group: P4/mmm, No. 123

[8]
A plane-wave DFT calculation with GGA+U was carried out for crystalline ZrMn2CrO6 at its relaxed geometry.

The structure in POSCAR format:
```
ZrMn2CrO6
1.0
5.245 0.000 0.000
2.620 4.545 0.000
2.620 -1.506 4.752
Zr Mn Cr O
1 2 1 6
direct
0.000 0.000 0.000
0.545 0.728 0.183
0.601 0.200 0.599
0.970 0.517 0.546
0.059 0.803 0.335
0.109 0.594 0.809
0.466 0.141 0.337
0.488 0.920 0.808
0.784 0.297 0.809
0.803 0.395 0.336
```

Results
* E_tot: -81.3 eV per cell
* size of the total moment: 10.0 μB per formula unit
* volume: 11.3 Å³/atom
* space group: P1, No. 1

[9]
A plane-wave DFT calculation with GGA+U was carried out for crystalline ZrMnCr2O6 at its relaxed geometry.

The structure in POSCAR format:
```
ZrMnCr2O6
1.0
2.649 1.530 4.653
-2.649 1.530 4.653
0.000 -3.059 4.653
Zr Mn Cr O
1 1 2 6
direct
0.000 0.000 0.000
0.495 0.495 0.495
0.210 0.210 0.210
0.711 0.711 0.711
0.079 0.840 0.422
0.327 0.591 0.934
0.422 0.079 0.840
0.591 0.934 0.327
0.840 0.422 0.079
0.934 0.327 0.591
```

Results
* E_tot: -83.5 eV per cell
* size of the total moment: 11.0 μB per formula unit
* volume: 11.3 Å³/atom
* Fermi-level density of states: 0.000 states/eV/f.u.
* space group: R3, No. 146